Entry from the Alexandria database: a geometry-optimized CdCo2Se structure (PBE).

Cell lengths 4.5659, 4.5659, 4.5659 Å; angles 131.13, 118.28, 82.44 degrees
With the nearest neighbours (Å) after each atom.
Sites, in units of the cell vectors:
Cd  0.0000  0.0000  0.0000  8 Co 2.73-2.78, 4 Se 3.01
Co  0.2968  0.7968  0.5000  2 Se 2.35
Co  0.7032  0.2032  0.5000  2 Se 2.35
Se  0.5000  0.5000  0.0000  4 Co 2.35

The formation energy (no corrections) is 0.400 eV/atom. As for the polymorph energy (0 for the lowest one): 255 meV/atom. For the total magnetization, the calculation gives 1.73 μB/f.u. As for the space group: Immm, No. 71.

Entry from the Alexandria database: a geometry-optimized CeDyCdAg structure (PBE).

Cell lengths 5.2928, 5.2928, 5.2928 Å; angles 60.00, 60.00, 60.00 degrees
With the nearest neighbours (Å) after each atom.
Sites, in units of the cell vectors:
Ce  0.0000  0.0000  0.0000  4 Cd 3.24, 4 Ag 3.24
Dy  0.5000  0.5000  0.5000  4 Cd 3.24, 4 Ag 3.24
Cd  0.7500  0.7500  0.7500  4 Dy 3.24, 4 Ce 3.24
Ag  0.2500  0.2500  0.2500  4 Ce 3.24, 4 Dy 3.24

For the total magnetization, the calculation gives 1.11 μB/f.u. As for the space group: F-43m, No. 216. The total DFT energy (no corrections) is -3.745 eV per atom.

Entry from the Alexandria database: a geometry-optimized NdInNi structure (PBE).

Cell lengths 6.2561, 6.2561, 6.2561 Å; angles 148.90, 148.90, 44.56 degrees
With the nearest neighbours (Å) after each atom.
Sites, in units of the cell vectors:
Nd  0.0000  0.0000  0.0000  4 Ni 3.02, 1 In 3.28, 4 Nd 3.35
In  0.7167  0.7167  0.0000  4 Ni 2.76
Ni  0.3388  0.3388  0.0000  4 In 2.76, 4 Nd 3.02

For the total magnetization, the calculation gives 0.00 μB/f.u. As for the space group: I4mm, No. 107. The total DFT energy (no corrections) is -4.670 eV per atom.